A plane-wave DFT calculation with PBE was carried out for an optimized crystal structure of TbCeZnIn.

Properties
The raw total energy comes out at -3.95 eV per atom. The energy of formation comes out at -310 meV per atom. Its total magnetization is 2.82 Bohr magnetons per cell. For the volume, the calculation gives 25.9 A^3/atom.

```
data_TbCeZnIn
_chemical_formula_sum 'Tb4 Ce4 Zn4 In4'
_cell_length_a 7.458
_cell_length_b 7.458
_cell_length_c 7.458
_cell_angle_alpha 90.00
_cell_angle_beta 90.00
_cell_angle_gamma 90.00
_space_group_name_H-M_alt 'F -4 3 m'
_space_group_IT_number 216
_space_group_name_Hall 'F -4 2 3'
loop_
_atom_site_label
_atom_site_type_symbol
_atom_site_fract_x
_atom_site_fract_y
_atom_site_fract_z
Tb1 Tb 0.000 0.000 0.000
Ce1 Ce 0.000 0.000 0.500
Zn1 Zn 0.250 0.250 0.250
In1 In 0.250 0.250 0.750
```